A plane-wave DFT calculation with meta-GGA SCAN was carried out for a PBEsol-optimized structure of Mg2ScTi3S8.

Cell and atoms, written as POSCAR:
```
Mg2ScTi3S8
1.0
3.574 2.064 6.142
-3.574 2.064 6.142
0.000 -4.127 6.142
Mg Sc Ti S
2 1 3 8
direct
0.130 0.130 0.130 Mg
0.870 0.870 0.870 Mg
0.500 0.500 0.500 Sc
0.000 0.500 0.500 Ti
0.500 0.000 0.500 Ti
0.500 0.500 0.000 Ti
0.253 0.253 0.724 S
0.253 0.724 0.253 S
0.260 0.260 0.260 S
0.276 0.747 0.747 S
0.724 0.253 0.253 S
0.740 0.740 0.740 S
0.747 0.276 0.747 S
0.747 0.747 0.276 S
```

Computed properties:
As for the uncorrected formation energy: -1.669 eV per atom.